VASP calculation (PBE) on PIrPt3 after structural relaxation.

Cell lengths 4.8166, 4.8166, 4.8166 Å; angles 90.00, 90.00, 90.00 degrees
Closest atoms and distances in Å follow each position.
Sites, in units of the cell vectors:
P  0.0000  0.0000  0.0000  12 Pt 3.41
Ir  0.5000  0.5000  0.5000  6 Pt 2.41
Pt  0.0000  0.5000  0.5000  2 Ir 2.41
Pt  0.5000  0.0000  0.5000  2 Ir 2.41
Pt  0.5000  0.5000  0.0000  2 Ir 2.41

The value obtained for the density of states at the Fermi level is 9.169 states/eV/f.u. As for the total energy: -4.87 eV/atom. Its space group is No. 221. For the polymorph energy (0 for the lowest one), the calculation gives 0.988 eV/atom. The calculation puts the energy of formation at 8.050 eV/f.u.